No. 1
Below is a crystal of Sr2ZrCo relaxed with PBEsol, with properties calculated at the meta-GGA SCAN level.

## Properties
- symmetry = No. 10
- total magnetic moment (μB per formula unit) = 0.4
- crystal system = monoclinic
- D(E_F) (states/eV/cell) = 4.1
- formation energy (meV/atom) = 853
- polymorph energy (0 for the lowest one) (eV/atom) = 0.519

abc: 3.553 4.804 6.155
angles: 90.00 101.63 90.00
Atoms (fractional coordinates):
1 Zr 0.500 0.500 0.000
2 Co 0.500 0.500 0.500
3 Sr 0.899 0.000 0.727
4 Sr 0.101 0.000 0.273


No. 2
Below is a crystal of Zr2TlOs relaxed with PBEsol, with properties calculated at the meta-GGA SCAN level.

## Properties
- symmetry = No. 99
- total magnetic moment (μB per formula unit) = 0.0
- crystal system = tetragonal
- D(E_F) (states/eV/cell) = 2.9
- formation energy (meV/atom) = -43
- polymorph energy (0 for the lowest one) (eV/atom) = 0.403

abc: 3.320 3.320 7.139
angles: 90.00 90.00 90.00
Atoms (fractional coordinates):
1 Tl 0.500 0.500 0.727
2 Os 0.000 0.000 0.482
3 Zr 0.000 0.000 0.005
4 Zr 0.500 0.500 0.287


No. 3
Below is a crystal of MgMnTe2 relaxed with PBEsol, with properties calculated at the meta-GGA SCAN level.

## Properties
- symmetry = No. 71
- total magnetic moment (μB per formula unit) = 5.0
- crystal system = orthorhombic
- D(E_F) (states/eV/cell) = 1.1
- energy relative to the elements, uncorrected (meV per atom) = -298

abc: 4.093 5.442 5.442
angles: 72.59 67.91 67.91
Atoms (fractional coordinates):
1 Te 0.232 0.768 0.768
2 Te 0.768 0.232 0.232
3 Mg 0.000 0.500 0.500
4 Mn 0.500 0.000 0.000


No. 4
Below is a crystal of Te3W relaxed with PBEsol, with properties calculated at the meta-GGA SCAN level.

## Properties
- symmetry = No. 65
- total magnetic moment (μB per formula unit) = 0.0
- crystal system = orthorhombic
- D(E_F) (states/eV/cell) = 3.7
- energy relative to the elements, uncorrected (meV per atom) = 1193

abc: 3.386 5.464 5.464
angles: 116.15 90.00 90.00
Atoms (fractional coordinates):
1 Te 0.000 0.500 0.500
2 Te 0.500 0.500 0.000
3 Te 0.500 0.000 0.500
4 W 0.000 0.000 0.000


No. 5
Below is a crystal of CrTcAu relaxed with PBEsol, with properties calculated at the meta-GGA SCAN level.

## Properties
- symmetry = No. 216
- total magnetic moment (μB per formula unit) = 0.8
- crystal system = cubic
- D(E_F) (states/eV/cell) = 2.1
- formation energy (meV/atom) = 465

abc: 4.066 4.066 4.066
angles: 60.00 60.00 60.00
Atoms (fractional coordinates):
1 Au 0.500 0.500 0.500
2 Tc 0.000 0.000 0.000
3 Cr 0.250 0.250 0.250


No. 6
Below is a crystal of TaCo3S relaxed with PBEsol, with properties calculated at the meta-GGA SCAN level.

## Properties
- symmetry = No. 221
- total magnetic moment (μB per formula unit) = 2.7
- crystal system = cubic
- D(E_F) (states/eV/cell) = 1.4
- energy relative to the elements, uncorrected (meV per atom) = 1641

abc: 4.424 4.424 4.424
angles: 90.00 90.00 90.00
Atoms (fractional coordinates):
1 S 0.500 0.500 0.500
2 Co 0.000 0.500 0.000
3 Co 0.000 0.000 0.500
4 Co 0.500 0.000 0.000
5 Ta 0.000 0.000 0.000


No. 7
Below is a crystal of MoIr2Ru relaxed with PBEsol, with properties calculated at the meta-GGA SCAN level.

## Properties
- symmetry = No. 25
- total magnetic moment (μB per formula unit) = 0.0
- crystal system = orthorhombic
- D(E_F) (states/eV/cell) = 2.2
- formation energy (meV/atom) = -323
- polymorph energy (0 for the lowest one) (eV/atom) = 0.000

abc: 2.726 4.335 4.758
angles: 90.00 90.00 90.00
Atoms (fractional coordinates):
1 Ru 0.500 0.500 0.205
2 Ir 0.000 0.000 0.048
3 Ir 0.000 0.500 0.712
4 Mo 0.500 0.000 0.535


No. 8
Below is a crystal of Rb2Cd2C relaxed with PBEsol, with properties calculated at the meta-GGA SCAN level.

## Properties
- symmetry = No. 139
- total magnetic moment (μB per formula unit) = 2.7
- crystal system = tetragonal
- D(E_F) (states/eV/cell) = 1.4
- formation energy (meV/atom) = 818

abc: 3.964 3.964 10.627
angles: 100.75 100.75 90.00
Atoms (fractional coordinates):
1 Rb 0.583 0.583 0.165
2 Rb 0.417 0.417 0.835
3 C 0.000 0.000 0.000
4 Cd 0.750 0.250 0.500
5 Cd 0.250 0.750 0.500


No. 9
Below is a crystal of AgTeSe relaxed with PBEsol, with properties calculated at the meta-GGA SCAN level.

## Properties
- symmetry = No. 156
- total magnetic moment (μB per formula unit) = 0.0
- crystal system = trigonal
- D(E_F) (states/eV/cell) = 1.4
- energy relative to the elements, uncorrected (meV per atom) = 33

abc: 4.022 4.022 4.871
angles: 90.00 90.00 120.00
Atoms (fractional coordinates):
1 Ag 0.000 0.000 0.986
2 Te 0.667 0.333 0.303
3 Se 0.333 0.667 0.712


No. 10
Below is a crystal of Ca2MgHg relaxed with PBEsol, with properties calculated at the meta-GGA SCAN level.

## Properties
- symmetry = No. 123
- total magnetic moment (μB per formula unit) = 0.0
- crystal system = tetragonal
- D(E_F) (states/eV/cell) = 2.6
- formation energy (meV/atom) = -415
- polymorph energy (0 for the lowest one) (eV/atom) = 0.000

abc: 3.794 3.794 7.729
angles: 90.00 90.00 90.00
Atoms (fractional coordinates):
1 Hg 0.500 0.500 0.500
2 Ca 0.000 0.000 0.729
3 Ca 0.000 0.000 0.271
4 Mg 0.500 0.500 0.000


No. 11
Below is a crystal of MnBe3Tl relaxed with PBEsol, with properties calculated at the meta-GGA SCAN level.

## Properties
- symmetry = No. 221
- total magnetic moment (μB per formula unit) = 2.1
- crystal system = cubic
- D(E_F) (states/eV/cell) = 1.7
- formation energy (meV/atom) = 894
- polymorph energy (0 for the lowest one) (eV/atom) = 0.000

abc: 4.170 4.170 4.170
angles: 90.00 90.00 90.00
Atoms (fractional coordinates):
1 Mn 0.000 0.000 0.000
2 Be 0.000 0.500 0.000
3 Be 0.500 0.000 0.000
4 Be 0.000 0.000 0.500
5 Tl 0.500 0.500 0.500


No. 12
Below is a crystal of KBa relaxed with PBEsol, with properties calculated at the meta-GGA SCAN level.

## Properties
- symmetry = No. 123
- total magnetic moment (μB per formula unit) = 0.0
- crystal system = tetragonal
- D(E_F) (states/eV/cell) = 1.9
- formation energy (meV/atom) = 117

abc: 4.266 4.266 7.008
angles: 90.00 90.00 90.00
Atoms (fractional coordinates):
1 Ba 0.000 0.000 0.000
2 K 0.500 0.500 0.500


No. 13
Below is a crystal of Ba3Ta2NiO9 relaxed with PBEsol, with properties calculated at the meta-GGA SCAN level.

## Properties
- symmetry = No. 164
- total magnetic moment (μB per formula unit) = 2.0
- crystal system = trigonal
- D(E_F) (states/eV/cell) = 0.0
- energy relative to the elements, uncorrected (meV per atom) = -3037

abc: 5.732 5.732 7.055
angles: 90.00 90.00 120.00
Atoms (fractional coordinates):
1 Ta 0.667 0.333 0.177
2 Ta 0.333 0.667 0.823
3 O 0.170 0.340 0.673
4 O 0.000 0.500 0.000
5 O 0.830 0.170 0.327
6 O 0.660 0.830 0.673
7 O 0.340 0.170 0.327
8 O 0.500 0.000 0.000
9 O 0.830 0.660 0.327
10 O 0.500 0.500 0.000
11 O 0.170 0.830 0.673
12 Ba 0.000 0.000 0.000
13 Ba 0.333 0.667 0.340
14 Ba 0.667 0.333 0.660
15 Ni 0.000 0.000 0.500